[1]
Compound: TlZn2Sb2
Source: Alexandria
Functional: PBE
Structure: optimized geometry

a b c (Å): 10.509 4.288 12.133
angles (deg): 90.00 90.00 90.00
Sites, in units of the cell vectors:
Tl 0.244 0.250 0.190
Tl 0.256 0.750 0.690
Tl 0.744 0.250 0.310
Tl 0.756 0.750 0.810
Zn 0.042 0.750 0.369
Zn 0.098 0.750 0.964
Zn 0.402 0.250 0.464
Zn 0.458 0.250 0.869
Zn 0.542 0.750 0.131
Zn 0.598 0.750 0.536
Zn 0.902 0.250 0.036
Zn 0.958 0.250 0.631
Sb 0.034 0.250 0.841
Sb 0.145 0.250 0.468
Sb 0.355 0.750 0.968
Sb 0.466 0.750 0.341
Sb 0.534 0.250 0.659
Sb 0.645 0.250 0.032
Sb 0.855 0.750 0.532
Sb 0.966 0.750 0.159

Computed properties:
**Magnetic moment**: 0.000 μB/atom
**SG**: Pnma
**Energy above the lowest structure with this stoichiometry**: 17 meV per atom
**Crystal system**: orthorhombic
**Calculated total energy**: -2.626 eV/atom
**D(E_F)**: 1.86 states/eV/f.u.

=====

[2]
Compound: TlZnSb2
Source: Alexandria
Functional: PBE
Structure: optimized geometry

a b c (Å): 6.320 6.320 6.320
angles (deg): 148.08 127.85 62.46
Sites, in units of the cell vectors:
Tl 0.000 0.000 0.000
Zn 0.500 0.500 0.000
Sb 0.287 0.787 0.500
Sb 0.713 0.213 0.500

Computed properties:
**Magnetic moment**: 0.000 μB/atom
**SG**: Immm
**Energy above the lowest structure with this stoichiometry**: 137 meV per atom
**Crystal system**: orthorhombic
**Calculated total energy**: -2.824 eV/atom
**D(E_F)**: 2.12 states/eV/f.u.

=====

[3]
Compound: TlZnSb2
Source: Alexandria
Functional: PBE
Structure: optimized geometry

a b c (Å): 5.410 5.410 5.410
angles (deg): 123.42 123.42 84.17
Sites, in units of the cell vectors:
Tl 0.000 0.000 0.000
Zn 0.250 0.750 0.500
Sb 0.500 0.500 0.000
Sb 0.750 0.250 0.500

Computed properties:
**Magnetic moment**: 0.000 μB/atom
**SG**: I-4m2
**Energy above the lowest structure with this stoichiometry**: 193 meV per atom
**Crystal system**: tetragonal
**Calculated total energy**: -2.767 eV/atom
**D(E_F)**: 1.47 states/eV/f.u.

=====

[4]
Compound: TlZn2Sb
Source: Alexandria
Functional: PBE
Structure: optimized geometry

a b c (Å): 6.217 6.217 6.217
angles (deg): 149.67 129.70 59.87
Sites, in units of the cell vectors:
Tl 0.000 0.000 0.000
Zn 0.276 0.776 0.500
Zn 0.473 0.473 0.000
Sb 0.706 0.206 0.500

Computed properties:
**Magnetic moment**: 0.000 μB/atom
**SG**: Imm2
**Energy above the lowest structure with this stoichiometry**: 116 meV per atom
**Crystal system**: orthorhombic
**Calculated total energy**: -2.083 eV/atom
**D(E_F)**: 1.45 states/eV/f.u.

=====

[5]
Compound: TlZnSb
Source: Alexandria
Functional: PBE
Structure: optimized geometry

a b c (Å): 3.411 3.411 7.623
angles (deg): 90.00 90.00 120.00
Sites, in units of the cell vectors:
Tl 0.000 0.000 0.000
Zn 0.667 0.333 0.316
Sb 0.333 0.667 0.604

Computed properties:
**Magnetic moment**: 0.000 μB/atom
**SG**: P3m1
**Crystal system**: trigonal
**Calculated total energy**: -2.405 eV/atom
**D(E_F)**: 0.95 states/eV/f.u.

=====

[6]
Compound: TlZn2Sb2
Source: Alexandria
Functional: PBE
Structure: optimized geometry

a b c (Å): 7.453 7.453 6.723
angles (deg): 106.75 106.75 118.52
Sites, in units of the cell vectors:
Tl 0.247 0.753 0.000
Tl 0.753 0.247 0.000
Zn 0.009 0.009 0.763
Zn 0.237 0.544 0.502
Zn 0.544 0.237 0.502
Zn 0.749 0.749 0.243
Sb 0.192 0.877 0.502
Sb 0.387 0.387 0.214
Sb 0.675 0.675 0.791
Sb 0.877 0.192 0.502

Computed properties:
**Magnetic moment**: 0.000 μB/atom
**SG**: Cm
**Energy above the lowest structure with this stoichiometry**: 1 meV per atom
**Crystal system**: monoclinic
**Calculated total energy**: -2.643 eV/atom
**D(E_F)**: 1.88 states/eV/f.u.

=====

[7]
Compound: TlZn2Sb2
Source: Alexandria
Functional: PBE
Structure: optimized geometry

a b c (Å): 8.621 8.621 3.304
angles (deg): 90.00 90.00 90.00
Sites, in units of the cell vectors:
Tl 0.000 0.000 0.000
Tl 0.500 0.500 0.000
Zn 0.140 0.360 0.500
Zn 0.360 0.860 0.500
Zn 0.640 0.140 0.500
Zn 0.860 0.640 0.500
Sb 0.154 0.654 0.000
Sb 0.346 0.154 0.000
Sb 0.654 0.846 0.000
Sb 0.846 0.346 0.000

Computed properties:
**Magnetic moment**: 0.000 μB/atom
**SG**: P4/mbm
**Energy above the lowest structure with this stoichiometry**: 163 meV per atom
**Crystal system**: tetragonal
**Calculated total energy**: -2.480 eV/atom
**D(E_F)**: 3.05 states/eV/f.u.

=====

[8]
Compound: Tl2ZnSb2
Source: Alexandria
Functional: PBE
Structure: optimized geometry

a b c (Å): 6.401 6.401 11.520
angles (deg): 115.52 115.52 44.91
Sites, in units of the cell vectors:
Tl 0.076 0.076 0.387
Tl 0.326 0.326 0.789
Tl 0.674 0.674 0.211
Tl 0.924 0.924 0.613
Zn 0.377 0.377 0.145
Zn 0.623 0.623 0.855
Sb 0.106 0.106 0.967
Sb 0.374 0.374 0.381
Sb 0.626 0.626 0.619
Sb 0.894 0.894 0.033

Computed properties:
**Magnetic moment**: 0.000 μB/atom
**SG**: C2/m
**Energy above the lowest structure with this stoichiometry**: 0 meV per atom
**Crystal system**: monoclinic
**Calculated total energy**: -2.848 eV/atom
**D(E_F)**: 1.50 states/eV/f.u.

=====

[9]
Compound: TlZn2Sb
Source: Alexandria
Functional: PBE
Structure: optimized geometry

a b c (Å): 5.214 5.214 3.384
angles (deg): 90.00 90.00 90.00
Sites, in units of the cell vectors:
Tl 0.000 0.000 0.000
Zn 0.000 0.500 0.500
Zn 0.500 0.000 0.500
Sb 0.500 0.500 0.000

Computed properties:
**Magnetic moment**: 0.000 μB/atom
**SG**: P4/mmm
**Energy above the lowest structure with this stoichiometry**: 138 meV per atom
**Crystal system**: tetragonal
**Calculated total energy**: -2.061 eV/atom
**D(E_F)**: 1.99 states/eV/f.u.

=====

[10]
Compound: TlZn2Sb2
Source: Alexandria
Functional: PBE
Structure: optimized geometry

a b c (Å): 8.393 8.393 3.433
angles (deg): 90.00 90.00 90.00
Sites, in units of the cell vectors:
Tl 0.000 0.000 0.000
Tl 0.500 0.500 0.000
Zn 0.132 0.368 0.000
Zn 0.368 0.868 0.000
Zn 0.632 0.132 0.000
Zn 0.868 0.632 0.000
Sb 0.159 0.659 0.500
Sb 0.341 0.159 0.500
Sb 0.659 0.841 0.500
Sb 0.841 0.341 0.500

Computed properties:
**Magnetic moment**: 0.000 μB/atom
**SG**: P4/mbm
**Energy above the lowest structure with this stoichiometry**: 123 meV per atom
**Crystal system**: tetragonal
**Calculated total energy**: -2.521 eV/atom
**D(E_F)**: 2.35 states/eV/f.u.

=====

[11]
Compound: TlZn2Sb
Source: Alexandria
Functional: PBE
Structure: optimized geometry

a b c (Å): 6.210 6.210 6.926
angles (deg): 90.00 90.00 135.52
Sites, in units of the cell vectors:
Tl 0.072 0.928 0.750
Tl 0.928 0.072 0.250
Zn 0.388 0.612 0.551
Zn 0.388 0.612 0.949
Zn 0.612 0.388 0.051
Zn 0.612 0.388 0.449
Sb 0.216 0.784 0.250
Sb 0.784 0.216 0.750

Computed properties:
**Magnetic moment**: 0.000 μB/atom
**SG**: Cmcm
**Energy above the lowest structure with this stoichiometry**: 0 meV per atom
**Crystal system**: orthorhombic
**Calculated total energy**: -2.199 eV/atom
**D(E_F)**: 0.81 states/eV/f.u.

=====

[12]
Compound: TlZnSb
Source: Alexandria
Functional: PBE
Structure: optimized geometry

a b c (Å): 6.592 6.592 6.592
angles (deg): 151.12 144.74 46.20
Sites, in units of the cell vectors:
Tl 0.000 0.000 0.000
Zn 0.316 0.316 0.000
Sb 0.709 0.709 0.000

Computed properties:
**Magnetic moment**: 0.000 μB/atom
**SG**: Imm2
**Crystal system**: orthorhombic
**Calculated total energy**: -2.442 eV/atom
**D(E_F)**: 1.49 states/eV/f.u.

=====

[13]
Compound: Tl3Zn2Sb2
Source: Alexandria
Functional: PBE
Structure: optimized geometry

a b c (Å): 6.637 8.587 14.039
angles (deg): 90.00 90.00 90.00
Sites, in units of the cell vectors:
Tl 0.127 0.118 0.103
Tl 0.127 0.118 0.397
Tl 0.127 0.382 0.603
Tl 0.127 0.382 0.897
Tl 0.322 0.716 0.750
Tl 0.322 0.784 0.250
Tl 0.678 0.216 0.750
Tl 0.678 0.284 0.250
Tl 0.873 0.618 0.103
Tl 0.873 0.618 0.397
Tl 0.873 0.882 0.603
Tl 0.873 0.882 0.897
Zn 0.407 0.037 0.596
Zn 0.407 0.037 0.904
Zn 0.407 0.463 0.096
Zn 0.407 0.463 0.404
Zn 0.593 0.537 0.596
Zn 0.593 0.537 0.904
Zn 0.593 0.963 0.096
Zn 0.593 0.963 0.404
Sb 0.166 0.083 0.750
Sb 0.166 0.417 0.250
Sb 0.356 0.750 0.000
Sb 0.356 0.750 0.500
Sb 0.644 0.250 0.000
Sb 0.644 0.250 0.500
Sb 0.834 0.583 0.750
Sb 0.834 0.917 0.250

Computed properties:
**Magnetic moment**: 0.000 μB/atom
**SG**: Pbcm
**Crystal system**: orthorhombic
**Calculated total energy**: -2.530 eV/atom
**D(E_F)**: 1.91 states/eV/f.u.

=====

Which raw formation energy belongs to each record? In order, 0.0053; 0.1474; 0.2041; 0.1759; 0.1829; -0.0110; 0.1514; 0.0019; 0.1986; 0.1111; 0.0602; 0.1453; 0.0255 eV/atom.